Record 1
# SmEr2Al6

A relaxed SmEr2Al6 crystal (PBE, Alexandria via LeMat-Bulk).

Values from the calculation:
**Total magnetization**: 0.00 μB per cell
**Crystal system**: orthorhombic
**VASP energy**: -38.62 eV for the cell shown

abc: 4.3821 7.9230 7.9230
angles: 53.60 73.95 73.95
Fractional positions:
Al: 0.1861 0.5092 0.1187
Al: 0.1861 0.1187 0.5092
Al: 0.8139 0.8813 0.4908
Al: 0.8139 0.4908 0.8813
Al: 0.0000 0.1847 0.8153
Al: 0.0000 0.8153 0.1847
Sm: 0.5000 0.5000 0.5000
Er: 0.3765 0.1235 0.1235
Er: 0.6235 0.8765 0.8765


Record 2
# Ac2Si4Pt3Rh

A relaxed Ac2Si4Pt3Rh crystal (PBE, Alexandria via LeMat-Bulk).

Values from the calculation:
**Total magnetization**: 0.00 μB per cell
**Crystal system**: tetragonal
**VASP energy**: -65.83 eV for the cell shown
**Formation energy (no corrections)**: -1045 meV per atom

abc: 4.3515 4.3515 10.1047
angles: 90.00 90.00 90.00
Fractional positions:
Si: 0.0000 0.0000 0.0000
Si: 0.0000 0.5000 0.3757
Si: 0.5000 0.0000 0.6243
Si: 0.5000 0.5000 0.0000
Pt: 0.0000 0.5000 0.1202
Pt: 0.0000 0.0000 0.5000
Pt: 0.5000 0.0000 0.8798
Rh: 0.5000 0.5000 0.5000
Ac: 0.5000 0.0000 0.2454
Ac: 0.0000 0.5000 0.7546


Record 3
# CaPN2O

A relaxed CaPN2O crystal (PBE, Alexandria via LeMat-Bulk).

Values from the calculation:
**Total magnetization**: 0.17 μB per cell
**Crystal system**: tetragonal
**VASP energy**: -30.66 eV for the cell shown
**Formation energy (no corrections)**: -329 meV per atom

abc: 3.2774 8.4106 3.2774
angles: 90.00 90.00 90.00
Last column: magnetic moment on the atom in μB.
Fractional positions:
P: 0.0000 0.0000 0.0000  0.00
N: 0.5000 0.0000 0.0000  0.07
N: 0.0000 0.0000 0.5000  0.08
Ca: 0.0000 0.5000 0.0000  0.00
O: 0.5000 0.5000 0.5000  -0.02


Number 1: Fermi-level density of states 4.92 states/eV per cell. Number 2: Fermi-level density of states 6.68 states/eV per cell. Number 3: Fermi-level density of states 2.48 states/eV per cell.